1.
Computed, not measured: a relaxed Sc2BeC crystal at the GGA-PBEsol level of DFT.

a b c (Å): 3.190 3.190 8.380
angles (deg): 79.03 79.03 60.00
Element x y z (fractional)
Sc (0.913, 0.913, 0.261)
Sc (0.087, 0.087, 0.739)
C (0.000, 0.000, 0.000)
Be (0.500, 0.500, 0.500)

Computed properties:
Electronic total energy in eV/atom: -5.572
ΔH_f (0 K) in eV/atom: 1.141

***

2.
Computed, not measured: a relaxed ZnAg2Pt crystal at the GGA-PBEsol level of DFT.

a b c (Å): 4.428 4.428 4.428
angles (deg): 60.00 60.00 60.00
Element x y z (fractional)
Ag (0.750, 0.750, 0.750)
Ag (0.000, 0.000, 0.000)
Zn (0.250, 0.250, 0.250)
Pt (0.500, 0.500, 0.500)

Computed properties:
Electronic total energy in eV/atom: -3.917
ΔH_f (0 K) in eV/atom: -0.125

***

3.
Computed, not measured: a relaxed BaPdW2Cl crystal at the GGA-PBEsol level of DFT.

a b c (Å): 5.373 5.409 5.409
angles (deg): 90.00 90.00 90.00
Element x y z (fractional)
Cl (0.500, 0.000, 0.000)
Ba (0.000, 0.000, 0.000)
Pd (0.500, 0.500, 0.500)
W (0.000, 0.000, 0.500)
W (0.000, 0.500, 0.000)

Computed properties:
Electronic total energy in eV/atom: -4.374
Formation energy without anion corrections in eV per atom: 3.173

***

4.
Computed, not measured: a relaxed CuPbSe3 crystal at the GGA-PBEsol level of DFT.

a b c (Å): 5.340 5.340 5.340
angles (deg): 90.00 90.00 90.00
Element x y z (fractional)
Se (0.500, 0.000, 0.000)
Se (0.000, 0.000, 0.500)
Se (0.000, 0.500, 0.000)
Cu (0.500, 0.500, 0.500)
Pb (0.000, 0.000, 0.000)

Computed properties:
Electronic total energy in eV/atom: -2.991
Formation energy without anion corrections in eV per atom: 0.986

***

5.
Computed, not measured: a relaxed BiSb2Os crystal at the GGA-PBEsol level of DFT.

a b c (Å): 6.440 6.440 7.640
angles (deg): 114.93 114.93 90.00
Element x y z (fractional)
Bi (0.250, 0.750, 0.500)
Bi (0.000, 0.000, 0.000)
Sb (0.442, 0.875, 0.250)
Sb (0.125, 0.192, 0.750)
Sb (0.625, 0.558, 0.750)
Sb (0.808, 0.375, 0.250)
Os (0.750, 0.250, 0.500)
Os (0.500, 0.500, 0.000)

Computed properties:
Electronic total energy in eV/atom: -5.801
Formation energy without anion corrections in eV per atom: 0.603

***

6.
Computed, not measured: a relaxed ZnReMo2 crystal at the GGA-PBEsol level of DFT.

a b c (Å): 2.656 5.078 5.078
angles (deg): 116.70 98.48 98.48
Element x y z (fractional)
Zn (0.500, 0.500, 0.500)
Re (0.500, 0.000, 0.000)
Mo (0.000, 0.500, 0.000)
Mo (0.000, 0.000, 0.500)

Computed properties:
Electronic total energy in eV/atom: -9.430
ΔH_f (0 K) in eV/atom: 0.183